(1)
Entry from Alexandria via LeMat-Bulk: crystalline AlZnTcAu at its relaxed geometry (GGA-PBE).

a b c (Å): 6.1947 6.1947 6.1947
angles (deg): 90.00 90.00 90.00
With the nearest neighbours (Å) after each atom.
Space group F-43m (No. 216)
One atom of each set of equivalent atoms:
Al (0.0000, 0.0000, 0.0000) (multiplicity 4)  4 Tc 2.68, 4 Au 2.68
Zn (0.0000, 0.0000, 0.5000) (multiplicity 4)  4 Tc 2.68, 4 Au 2.68
Tc (0.2500, 0.2500, 0.7500) (multiplicity 4)  4 Al 2.68, 4 Zn 2.68
Au (0.2500, 0.2500, 0.2500) (multiplicity 4)  4 Al 2.68, 4 Zn 2.68

## Properties
The calculation puts the formation energy at -136 meV/atom. The size of the total moment comes out at 0.00 μB per cell. The value obtained for the total DFT energy (no corrections) is -0.1764 Ha/atom. As for the crystal system: cubic. The calculation puts the density of states at the Fermi level at 8.2 states/eV per cell.


(2)
Entry from Alexandria via LeMat-Bulk: crystalline Ta3Co at its relaxed geometry (GGA-PBE).

a b c (Å): 5.6768 8.6188 5.4466
angles (deg): 90.00 90.00 90.00
With the nearest neighbours (Å) after each atom.
Space group Pnma (No. 62)
One atom of each set of equivalent atoms:
Ta (0.0444, 0.2500, 0.1594) (multiplicity 4)  2 Co 2.52-2.63
Ta (0.2076, 0.0492, 0.6246) (multiplicity 8)  2 Co 2.46-2.48
Co (0.0996, 0.7500, 0.3822) (multiplicity 4)  6 Ta 2.46-2.63

## Properties
The calculation puts the formation energy at -39 meV/atom. The size of the total moment comes out at 0.00 μB per cell. The value obtained for the total DFT energy (no corrections) is -0.3934 Ha/atom. As for the crystal system: orthorhombic. The calculation puts the density of states at the Fermi level at 13.1 states/eV per cell.


(3)
Entry from Alexandria via LeMat-Bulk: crystalline HoEr3Hg6 at its relaxed geometry (GGA-PBE).

a b c (Å): 9.0969 5.1252 11.0316
angles (deg): 90.00 106.64 90.00
With the nearest neighbours (Å) after each atom.
Space group P2_1/m (No. 11)
One atom of each set of equivalent atoms:
Ho (0.0614, 0.2500, 0.3903) (multiplicity 2)  8 Hg 3.06-3.27
Er (0.2308, 0.2500, 0.0073) (multiplicity 2)  8 Hg 3.05-3.39
Er (0.3532, 0.7500, 0.7993) (multiplicity 2)  8 Hg 3.05-3.18
Er (0.4816, 0.2500, 0.6119) (multiplicity 2)  8 Hg 3.00-3.33
Hg (0.0636, 0.7500, 0.8985) (multiplicity 2)  4 Er 3.05-3.14, 1 Ho 3.06, 3 Hg 3.17-3.20
Hg (0.1399, 0.7500, 0.2002) (multiplicity 2)  8 Hg 3.17-3.48, 2 Er 3.47-3.49, 2 Ho 3.51
Hg (0.1633, 0.2500, 0.6891) (multiplicity 2)  4 Er 3.13-3.39, 3 Ho 3.16-3.24, 3 Hg 3.32-3.44
Hg (0.2451, 0.7500, 0.5112) (multiplicity 2)  4 Er 3.05-3.33, 3 Ho 3.14-3.27, 1 Hg 3.29
Hg (0.3507, 0.2500, 0.2988) (multiplicity 2)  5 Er 3.00-3.32, 1 Ho 3.08, 2 Hg 3.20
Hg (0.4636, 0.7500, 0.0915) (multiplicity 2)  7 Er 3.09-3.28, 2 Hg 3.44

## Properties
The calculation puts the formation energy at -419 meV/atom. The size of the total moment comes out at 0.00 μB per cell. The value obtained for the total DFT energy (no corrections) is -0.0892 Ha/atom. As for the crystal system: monoclinic. The calculation puts the density of states at the Fermi level at 12.4 states/eV per cell.


total DFT energy (no corrections) of number 1 (AlZnTcAu)? -0.1764 Ha/atom


The highest total DFT energy (no corrections) belongs to which entry? HoEr3Hg6


Please write out number 1 again, unchanged.
Entry from Alexandria via LeMat-Bulk: crystalline AlZnTcAu at its relaxed geometry (GGA-PBE).

a b c (Å): 6.1947 6.1947 6.1947
angles (deg): 90.00 90.00 90.00
With the nearest neighbours (Å) after each atom.
Space group F-43m (No. 216)
One atom of each set of equivalent atoms:
Al (0.0000, 0.0000, 0.0000) (multiplicity 4)  4 Tc 2.68, 4 Au 2.68
Zn (0.0000, 0.0000, 0.5000) (multiplicity 4)  4 Tc 2.68, 4 Au 2.68
Tc (0.2500, 0.2500, 0.7500) (multiplicity 4)  4 Al 2.68, 4 Zn 2.68
Au (0.2500, 0.2500, 0.2500) (multiplicity 4)  4 Al 2.68, 4 Zn 2.68

## Properties
The calculation puts the formation energy at -136 meV/atom. The size of the total moment comes out at 0.00 μB per cell. The value obtained for the total DFT energy (no corrections) is -0.1764 Ha/atom. As for the crystal system: cubic. The calculation puts the density of states at the Fermi level at 8.2 states/eV per cell.